VASP calculation (PBE-GGA) on a relaxed structure of TiPd3I.

Cell lengths 4.9251, 4.9251, 4.9251 Å; angles 90.00, 90.00, 90.00 degrees
With the nearest neighbours (Å) after each atom.
Fractional positions:
Pd1 0.0000 0.0000 0.5000  2 I 2.46
Ti1 0.5000 0.5000 0.5000  12 Pd 3.48
Pd2 0.5000 0.0000 0.0000  2 I 2.46
Pd3 0.0000 0.5000 0.0000  2 I 2.46
I1 0.0000 0.0000 0.0000  6 Pd 2.46

formation energy from raw total energies: 857 meV per atom
ΔE to the lowest computed polymorph: 1.81 eV per formula unit
calculated total energy: -4.148 eV/atom
SG: Pm-3m (221)

---

VASP calculation (PBE-GGA) on a relaxed structure of TiPdI2.

Cell lengths 6.2289, 6.2289, 7.8818 Å; angles 66.72, 66.72, 90.00 degrees
With the nearest neighbours (Å) after each atom.
Fractional positions:
Pd1 0.7500 0.2500 0.5000  4 I 2.73
I1 0.8750 0.8796 0.7500  2 Pd 2.73, 2 Ti 2.76
I2 0.3750 0.3704 0.7500  2 Pd 2.73, 2 Ti 2.76
I3 0.1204 0.6250 0.2500  2 Pd 2.73, 2 Ti 2.76
Ti1 0.5000 0.5000 0.0000  4 I 2.76
Ti2 0.2500 0.7500 0.5000  4 I 2.76
Pd2 0.0000 0.0000 0.0000  4 I 2.73
I4 0.6296 0.1250 0.2500  2 Pd 2.73, 2 Ti 2.76

formation energy from raw total energies: -48 meV per atom
ΔE to the lowest computed polymorph: 0.00 eV per formula unit
calculated total energy: -4.095 eV/atom
SG: I-42d (122)

---

VASP calculation (PBE-GGA) on a relaxed structure of TiPd2WI.

Cell lengths 4.8583, 4.8583, 4.9958 Å; angles 90.00, 90.00, 90.00 degrees
With the nearest neighbours (Å) after each atom.
Fractional positions:
I1 0.0000 0.0000 0.0000  4 Pd 2.43, 2 Ti 2.50
W1 0.5000 0.5000 0.5000  4 Ti 3.44, 8 Pd 3.48
Pd1 0.5000 0.0000 0.0000  2 I 2.43
Ti1 0.0000 0.0000 0.5000  2 I 2.50
Pd2 0.0000 0.5000 0.0000  2 I 2.43

formation energy from raw total energies: 1538 meV per atom
calculated total energy: -5.019 eV/atom
SG: P4/mmm (123)

---

The highest calculated total energy belongs to which entry?
TiPdI2

---

Among the records above, which one has the highest calculated total energy?
TiPdI2

---

What is the formation energy from raw total energies in the second record?
-48 meV per atom

---

calculated total energy of number 2 (TiPdI2)?
-4.095 eV/atom